Version A
DFT (PBE) results for a geometry-optimized LaPmGaPt structure.

Cell lengths 4.2900, 4.4784, 5.7743 Å; angles 90.00, 111.81, 90.00 degrees
Sites, in units of the cell vectors:
1 Pt 0.4256 0.0000 0.8511
2 Ga 0.5688 0.5000 0.1377
3 La 0.1446 0.0000 0.2893
4 Pm 0.8609 0.5000 0.7219

Calculated values
The crystal system is orthorhombic. For the density of states at the Fermi level, the calculation gives 0.9604 states/eV per atom. Its symmetry is Amm2.


Version B
DFT (PBE) results for a geometry-optimized LaPmGaPt structure.

Cell lengths 5.2119, 5.2119, 5.2119 Å; angles 60.00, 60.00, 60.00 degrees
Sites, in units of the cell vectors:
1 La 0.5000 0.5000 0.5000
2 Ga 0.2500 0.2500 0.2500
3 Pt 0.7500 0.7500 0.7500
4 Pm 0.0000 0.0000 0.0000

Calculated values
The crystal system is cubic. For the density of states at the Fermi level, the calculation gives 0.9429 states/eV per atom. Its symmetry is F-43m.


Most favorable structure: version A. The second most favorable one is 104 meV/atom above it.


Version A
DFT (PBE) results for a geometry-optimized LaPmGaRu structure.

Cell lengths 5.1295, 5.1295, 5.1295 Å; angles 60.00, 60.00, 60.00 degrees
Sites, in units of the cell vectors:
1 Ru 0.7500 0.7500 0.7500
2 Ga 0.2500 0.2500 0.2500
3 Pm 0.5000 0.5000 0.5000
4 La 0.0000 0.0000 0.0000

Calculated values
The crystal system is cubic. For the density of states at the Fermi level, the calculation gives 0.6970 states/eV per atom. Its symmetry is F-43m.


Version B
DFT (PBE) results for a geometry-optimized LaPmGaRu structure.

Cell lengths 4.3945, 3.9469, 6.0906 Å; angles 90.00, 111.15, 90.00 degrees
Sites, in units of the cell vectors:
1 Ru 0.4165 0.0000 0.8330
2 Ga 0.5671 0.5000 0.1341
3 La 0.8679 0.5000 0.7359
4 Pm 0.1485 0.0000 0.2970

Calculated values
The crystal system is orthorhombic. For the density of states at the Fermi level, the calculation gives 1.1281 states/eV per atom. Its symmetry is Amm2.


Most favorable structure: version B. The second most favorable one is 116 meV/atom above it.


Version A
DFT (PBE) results for a geometry-optimized LaPmTlGa structure.

Cell lengths 3.7670, 3.7670, 7.9024 Å; angles 90.00, 90.00, 90.00 degrees
Sites, in units of the cell vectors:
1 Tl 0.0000 0.0000 0.0815
2 Pm 0.5000 0.5000 0.3383
3 La 0.5000 0.5000 0.8033
4 Ga 0.0000 0.0000 0.5616

Calculated values
The crystal system is tetragonal. For the density of states at the Fermi level, the calculation gives 0.5659 states/eV per atom. Its symmetry is P4mm.


Version B
DFT (PBE) results for a geometry-optimized LaPmTlGa structure.

Cell lengths 5.4310, 5.4310, 5.4310 Å; angles 60.00, 60.00, 60.00 degrees
Sites, in units of the cell vectors:
1 La 0.5000 0.5000 0.5000
2 Pm 0.0000 0.0000 0.0000
3 Tl 0.7500 0.7500 0.7500
4 Ga 0.2500 0.2500 0.2500

Calculated values
The crystal system is cubic. For the density of states at the Fermi level, the calculation gives 0.6106 states/eV per atom. Its symmetry is F-43m.


Most favorable structure: version A. The second most favorable one is 31 meV/atom above it.


Version A
DFT (PBE) results for a geometry-optimized LaPr4Ga structure.

Cell lengths 3.7217, 3.7217, 14.3239 Å; angles 90.00, 90.00, 90.00 degrees
Sites, in units of the cell vectors:
1 Pr 0.5000 0.5000 0.8156
2 La 0.0000 0.0000 0.0000
3 Ga 0.5000 0.5000 0.5000
4 Pr 0.0000 0.0000 0.6290
5 Pr 0.5000 0.5000 0.1844
6 Pr 0.0000 0.0000 0.3710

Calculated values
The crystal system is tetragonal. For the density of states at the Fermi level, the calculation gives 1.4374 states/eV per atom. Its symmetry is P4/mmm.


Version B
DFT (PBE) results for a geometry-optimized LaPr4Ga structure.

Cell lengths 8.7589, 8.7589, 8.7589 Å; angles 98.96, 98.96, 133.50 degrees
Sites, in units of the cell vectors:
1 Pr 0.2490 0.5215 0.2724
2 Ga 0.5223 0.0223 0.5000
3 Pr 0.7298 0.9862 0.2564
4 La 0.2699 0.2699 0.0000
5 Pr 0.7266 0.4990 0.2276
6 Ga 0.7723 0.7723 0.0000
7 Pr 0.7362 0.9798 0.7564
8 La 0.0199 0.5199 0.5000
9 Pr 0.7298 0.4735 0.7436
10 Pr 0.2490 0.9766 0.7276
11 Pr 0.2715 0.4990 0.7724
12 Pr 0.2235 0.9798 0.2436

Calculated values
The crystal system is tetragonal. For the density of states at the Fermi level, the calculation gives 1.6890 states/eV per atom. Its symmetry is I4_1md.


Most favorable structure: version A. The second most favorable one is 419 meV/atom above it.


Version A
DFT (PBE) results for a geometry-optimized La4PrGa structure.

Cell lengths 3.7848, 3.7848, 13.9647 Å; angles 90.00, 90.00, 90.00 degrees
Sites, in units of the cell vectors:
1 La 0.0000 0.0000 0.3707
2 La 0.5000 0.5000 0.1852
3 La 0.0000 0.0000 0.6293
4 Pr 0.0000 0.0000 0.0000
5 Ga 0.5000 0.5000 0.5000
6 La 0.5000 0.5000 0.8148

Calculated values
The crystal system is tetragonal. For the density of states at the Fermi level, the calculation gives 1.4875 states/eV per atom. Its symmetry is P4/mmm.


Version B
DFT (PBE) results for a geometry-optimized La4PrGa structure.

Cell lengths 5.3211, 5.3277, 7.8400 Å; angles 89.98, 89.96, 90.00 degrees
Sites, in units of the cell vectors:
1 Ga 0.0014 0.9972 0.4982
2 La 0.0012 0.4971 0.2742
3 Pr 0.5011 0.4976 0.9985
4 La 0.5013 0.9975 0.7222
5 La 0.5014 0.9970 0.2736
6 La 0.0014 0.4973 0.7221

Calculated values
The crystal system is monoclinic. For the density of states at the Fermi level, the calculation gives 1.8201 states/eV per atom. Its symmetry is Pm.


Most favorable structure: version A. The second most favorable one is 350 meV/atom above it.


Version A
DFT (PBE) results for a geometry-optimized La3PrGa2 structure.

Cell lengths 5.2935, 6.8111, 9.8717 Å; angles 90.00, 90.00, 90.00 degrees
Sites, in units of the cell vectors:
1 La 0.5000 0.1930 0.8325
2 La 0.5000 0.6930 0.1675
3 La 0.0000 0.9938 0.0603
4 Pr 0.5000 0.0051 0.4409
5 Pr 0.5000 0.5051 0.5591
6 La 0.0000 0.8071 0.6679
7 Ga 0.0000 0.7844 0.3501
8 La 0.0000 0.3071 0.3321
9 La 0.0000 0.4938 0.9397
10 Ga 0.0000 0.2844 0.6499
11 Ga 0.5000 0.2164 0.1523
12 Ga 0.5000 0.7164 0.8477

Calculated values
The crystal system is orthorhombic. For the density of states at the Fermi level, the calculation gives 0.8820 states/eV per atom. Its symmetry is Pmc2_1.


Version B
DFT (PBE) results for a geometry-optimized La3PrGa2 structure.

Cell lengths 4.6441, 10.5600, 9.4359 Å; angles 124.77, 90.00, 102.70 degrees
Sites, in units of the cell vectors:
1 Ga 0.4986 0.9971 0.1384
2 La 0.3484 0.6967 0.1710
3 Pr 0.8858 0.7716 0.9067
4 Ga 0.5014 0.0029 0.8616
5 La 0.0482 0.0964 0.4124
6 La 0.9518 0.9036 0.5876
7 La 0.3185 0.6371 0.5713
8 La 0.6815 0.3629 0.4287
9 Pr 0.1142 0.2284 0.0933
10 Ga 0.7665 0.5331 0.2502
11 La 0.6516 0.3033 0.8290
12 Ga 0.2335 0.4669 0.7498

Calculated values
The crystal system is monoclinic. For the density of states at the Fermi level, the calculation gives 1.0892 states/eV per atom. Its symmetry is C2/m.


Most favorable structure: version A. The second most favorable one is 51 meV/atom above it.


Version A
DFT (PBE) results for a geometry-optimized LaPrGa2 structure.

Cell lengths 3.7510, 3.7510, 7.4953 Å; angles 90.00, 90.00, 90.00 degrees
Sites, in units of the cell vectors:
1 Pr 0.5000 0.5000 0.0000
2 Ga 0.0000 0.0000 0.2434
3 La 0.5000 0.5000 0.5000
4 Ga 0.0000 0.0000 0.7566

Calculated values
The crystal system is tetragonal. For the density of states at the Fermi level, the calculation gives 0.6361 states/eV per atom. Its symmetry is P4/mmm.


Version B
DFT (PBE) results for a geometry-optimized LaPrGa2 structure.

Cell lengths 4.5230, 4.2336, 6.1699 Å; angles 90.00, 111.47, 90.00 degrees
Sites, in units of the cell vectors:
1 La 0.7253 0.0000 0.9896
2 Pr 0.4429 0.5000 0.4249
3 Ga 0.1502 0.5000 0.8391
4 Ga 0.0127 0.0000 0.5644

Calculated values
The crystal system is orthorhombic. For the density of states at the Fermi level, the calculation gives 0.9768 states/eV per atom. Its symmetry is Amm2.


Version C
DFT (PBE) results for a geometry-optimized LaPrGa2 structure.

Cell lengths 3.8875, 3.8875, 9.2560 Å; angles 77.88, 77.88, 60.00 degrees
Sites, in units of the cell vectors:
1 La 0.0000 0.0000 0.0000
2 Ga 0.2490 0.2490 0.2531
3 Ga 0.7510 0.7510 0.7469
4 Pr 0.5000 0.5000 0.5000

Calculated values
The crystal system is trigonal. For the density of states at the Fermi level, the calculation gives 0.8630 states/eV per atom. Its symmetry is R-3m.


Version D
DFT (PBE) results for a geometry-optimized LaPrGa2 structure.

Cell lengths 5.3077, 5.3077, 5.3077 Å; angles 60.00, 60.00, 60.00 degrees
Sites, in units of the cell vectors:
1 Ga 0.2500 0.2500 0.2500
2 La 0.5000 0.5000 0.5000
3 Ga 0.7500 0.7500 0.7500
4 Pr 0.0000 0.0000 0.0000

Calculated values
The crystal system is cubic. For the density of states at the Fermi level, the calculation gives 0.5529 states/eV per atom. Its symmetry is Fm-3m.


Most favorable structure: version B. The second most favorable one is 28 meV/atom above it.


Version A
DFT (PBE) results for a geometry-optimized LaPrGa4 structure.

Cell lengths 4.3398, 4.3398, 8.1166 Å; angles 105.51, 105.51, 90.00 degrees
Sites, in units of the cell vectors:
1 Pr 0.0000 0.0000 0.0000
2 La 0.2500 0.7500 0.5000
3 Ga 0.4173 0.4173 0.8346
4 Ga 0.5827 0.5827 0.1654
5 Ga 0.6662 0.1662 0.3325
6 Ga 0.8338 0.3338 0.6675

Calculated values
The crystal system is tetragonal. For the density of states at the Fermi level, the calculation gives 0.6723 states/eV per atom. Its symmetry is I-4m2.


Version B
DFT (PBE) results for a geometry-optimized LaPrGa4 structure.

Cell lengths 5.6891, 5.6891, 5.6891 Å; angles 60.00, 60.00, 60.00 degrees
Sites, in units of the cell vectors:
1 Ga 0.6251 0.6251 0.6251
2 Ga 0.6251 0.1246 0.6251
3 La 0.0000 0.0000 0.0000
4 Ga 0.1246 0.6251 0.6251
5 Ga 0.6251 0.6251 0.1246
6 Pr 0.2500 0.2500 0.2500

Calculated values
The crystal system is cubic. For the density of states at the Fermi level, the calculation gives 0.5790 states/eV per atom. Its symmetry is F-43m.


Most favorable structure: version A. The second most favorable one is 113 meV/atom above it.